Material: Ba3VSb2O9
Method: DFT, PBE with a Hubbard U
State: relaxed

It has space group P-3m1 (No. 164), with a = 5.9602 Å, b = 5.9602 Å, c = 7.3110 Å, α = 90.00°, β = 90.00° and γ = 120.00°. The asymmetric unit holds Ba at (0.0000, 0.0000, 0.0000), Ba at (0.3333, 0.6667, 0.6597), V at (0.0000, 0.0000, 0.5000), Sb at (0.3333, 0.6667, 0.1701), O at (0.0000, 0.5000, 0.0000) and O at (0.1545, 0.3090, 0.3477).

The value obtained for the total magnetization is 0.0 μB per formula unit. The value obtained for the calculated total energy is -6.484 eV per atom. As for the calculated volume: 14.994 A^3/atom. As for the density of states at the Fermi level: 2.3 states/eV/cell.